1.
This record from the Alexandria database describes a relaxed ScSbBr2 crystal. The functional is GGA-PBE.

a b c (Å): 7.683 7.683 4.962
angles (deg): 81.37 81.37 27.33
Fractional positions:
Br (0.895, 0.895, 0.059)
Br (0.605, 0.605, 0.441)
Sb (0.750, 0.750, 0.750)
Sc (0.250, 0.250, 0.250)

Results
Energy relative to the lowest polymorph listed for this composition: 67 meV/atom
Space group: C2/m
Uncorrected energy: -0.158 Ha/atom

=====

2.
This record from the Alexandria database describes a relaxed ScSbBr2 crystal. The functional is GGA-PBE.

a b c (Å): 4.194 4.194 8.551
angles (deg): 90.00 90.00 90.00
Fractional positions:
Br (0.000, 0.000, 0.943)
Br (0.500, 0.500, 0.316)
Sb (0.000, 0.000, 0.642)
Sc (0.500, 0.500, 0.598)

Results
Energy relative to the lowest polymorph listed for this composition: 92 meV/atom
Space group: P4mm
Uncorrected energy: -0.157 Ha/atom

=====

3.
This record from the Alexandria database describes a relaxed ScSbBr crystal. The functional is GGA-PBE.

a b c (Å): 4.885 4.885 3.476
angles (deg): 90.00 90.00 120.00
Fractional positions:
Br (0.000, 0.000, 0.833)
Sb (0.667, 0.333, 0.333)
Sc (0.333, 0.667, 0.833)

Results
Energy relative to the lowest polymorph listed for this composition: 283 meV/atom
Space group: P-6m2
Uncorrected energy: -0.173 Ha/atom

=====

4.
This record from the Alexandria database describes a relaxed ScSb2Br crystal. The functional is GGA-PBE.

a b c (Å): 10.111 10.111 10.111
angles (deg): 20.88 20.88 20.88
Last column: magnetic moment on the atom in μB.
Fractional positions:
Br (0.777, 0.777, 0.777)  0.00
Sb (0.981, 0.981, 0.981)  0.07
Sb (0.240, 0.240, 0.240)  -0.01
Sc (0.501, 0.501, 0.501)  0.35

Results
Energy relative to the lowest polymorph listed for this composition: 103 meV/atom
Space group: R3m
Uncorrected energy: -0.168 Ha/atom